Entry from Alexandria: an optimized crystal structure of ScTcBi3 (PBE-GGA).

Properties
total energy	-23.32	eV/cell
size of the total moment	3.8	μB/f.u.
calculated volume	170	Å³/f.u.
energy above the lowest structure with this stoichiometry	424	meV per atom
formation energy	97	kJ per mole of atoms

Geometry as CIF:
```
data_ScTcBi3
_cell_length_a 5.5370
_cell_length_b 5.5370
_cell_length_c 5.5370
_cell_angle_alpha 90.00
_cell_angle_beta 90.00
_cell_angle_gamma 90.00
_symmetry_space_group_name_H-M 'P 1'
_symmetry_Int_Tables_number 1
_symmetry_space_group_name_Hall 'P 1'
loop_
_atom_site_label
_atom_site_fract_x
_atom_site_fract_y
_atom_site_fract_z
_atom_site_occupancy
Sc1 0.0000 0.0000 0.0000 1
Tc1 0.5000 0.5000 0.5000 1
Bi1 0.0000 0.0000 0.5000 1
Bi2 0.0000 0.5000 0.0000 1
Bi3 0.5000 0.0000 0.0000 1
```

---

Entry from Alexandria: an optimized crystal structure of Pm2Tm5Th5 (PBE-GGA).

Properties
total energy	-68.45	eV/cell
size of the total moment	0.0	μB/f.u.
calculated volume	381	Å³/f.u.
formation energy	4	kJ per mole of atoms

Geometry as CIF:
```
data_Pm2Tm5Th5
_cell_length_a 7.9653
_cell_length_b 7.9653
_cell_length_c 11.2690
_cell_angle_alpha 115.30
_cell_angle_beta 115.30
_cell_angle_gamma 36.68
_symmetry_space_group_name_H-M 'P 1'
_symmetry_Int_Tables_number 1
_symmetry_space_group_name_Hall 'P 1'
loop_
_atom_site_label
_atom_site_fract_x
_atom_site_fract_y
_atom_site_fract_z
_atom_site_occupancy
Pm1 0.0830 0.0830 0.2493 1
Pm2 0.9170 0.9170 0.7507 1
Tm1 0.3324 0.3324 0.4962 1
Tm2 0.4149 0.4149 0.2519 1
Tm3 0.5000 0.5000 0.0000 1
Tm4 0.5851 0.5851 0.7481 1
Tm5 0.6676 0.6676 0.5038 1
Th1 0.0000 0.0000 0.5000 1
Th2 0.1696 0.1696 0.0007 1
Th3 0.2484 0.2484 0.7515 1
Th4 0.7516 0.7516 0.2485 1
Th5 0.8304 0.8304 0.9993 1
```

---

Entry from Alexandria: an optimized crystal structure of Li3N (PBE-GGA).

Properties
uncorrected formation energy	-0.353	eV/atom
total energy	-30.96	eV/cell
size of the total moment	0.0	μB/f.u.
calculated volume	35	Å³/f.u.
energy above the lowest structure with this stoichiometry	10	meV per atom

Geometry as CIF:
```
data_Li3N
_cell_length_a 3.5633
_cell_length_b 3.5633
_cell_length_c 6.3491
_cell_angle_alpha 90.00
_cell_angle_beta 90.00
_cell_angle_gamma 120.00
_symmetry_space_group_name_H-M 'P 1'
_symmetry_Int_Tables_number 1
_symmetry_space_group_name_Hall 'P 1'
loop_
_atom_site_label
_atom_site_fract_x
_atom_site_fract_y
_atom_site_fract_z
_atom_site_occupancy
Li1 0.0000 0.0000 0.2500 1
Li2 0.0000 0.0000 0.7500 1
Li3 0.3333 0.6667 0.0768 1
Li4 0.3333 0.6667 0.4232 1
Li5 0.6667 0.3333 0.5768 1
Li6 0.6667 0.3333 0.9232 1
N1 0.3333 0.6667 0.7500 1
N2 0.6667 0.3333 0.2500 1
```

---

Entry from Alexandria: an optimized crystal structure of BaGa3Os (PBE-GGA).

Properties
total energy	-41.49	eV/cell
size of the total moment	0.0	μB/f.u.
calculated volume	153	Å³/f.u.
energy above the lowest structure with this stoichiometry	696	meV per atom
formation energy	29	kJ per mole of atoms

Geometry as CIF:
```
data_BaGa3Os
_cell_length_a 4.2439
_cell_length_b 4.2439
_cell_length_c 19.6061
_cell_angle_alpha 90.00
_cell_angle_beta 90.00
_cell_angle_gamma 120.00
_symmetry_space_group_name_H-M 'P 1'
_symmetry_Int_Tables_number 1
_symmetry_space_group_name_Hall 'P 1'
loop_
_atom_site_label
_atom_site_fract_x
_atom_site_fract_y
_atom_site_fract_z
_atom_site_occupancy
Ba1 0.0000 0.0000 0.0000 1
Ba2 0.0000 0.0000 0.5000 1
Ga1 0.0000 0.0000 0.2500 1
Ga2 0.0000 0.0000 0.7500 1
Ga3 0.3333 0.6667 0.1284 1
Ga4 0.3333 0.6667 0.3716 1
Ga5 0.6667 0.3333 0.6284 1
Ga6 0.6667 0.3333 0.8716 1
Os1 0.3333 0.6667 0.2500 1
Os2 0.6667 0.3333 0.7500 1
```

---

Entry from Alexandria: an optimized crystal structure of Pr2YH8 (PBE-GGA).

Properties
total energy	-49.23	eV/cell
size of the total moment	0.0	μB/f.u.
calculated volume	116	Å³/f.u.

Geometry as CIF:
```
data_Pr2YH8
_cell_length_a 6.6060
_cell_length_b 6.6060
_cell_length_c 6.6060
_cell_angle_alpha 146.23
_cell_angle_beta 132.90
_cell_angle_gamma 59.20
_symmetry_space_group_name_H-M 'P 1'
_symmetry_Int_Tables_number 1
_symmetry_space_group_name_Hall 'P 1'
loop_
_atom_site_label
_atom_site_fract_x
_atom_site_fract_y
_atom_site_fract_z
_atom_site_occupancy
Pr1 0.1686 0.1686 0.0000 1
Pr2 0.8314 0.8314 0.0000 1
Y1 0.5000 0.5000 0.0000 1
H1 0.0930 0.3465 0.7464 1
H2 0.2492 0.0000 0.2492 1
H3 0.3319 0.8319 0.5000 1
H4 0.3999 0.6535 0.7464 1
H5 0.6001 0.3465 0.2536 1
H6 0.6681 0.1681 0.5000 1
H7 0.7508 0.0000 0.7508 1
H8 0.9070 0.6535 0.2536 1
```

---

Entry from Alexandria: an optimized crystal structure of LaTl2BiPt (PBE-GGA).

Properties
total energy	-21.71	eV/cell
size of the total moment	0.0	μB/f.u.
calculated volume	157	Å³/f.u.
formation energy	-41	kJ per mole of atoms

Geometry as CIF:
```
data_LaTl2BiPt
_cell_length_a 5.2912
_cell_length_b 5.2912
_cell_length_c 5.6188
_cell_angle_alpha 90.00
_cell_angle_beta 90.00
_cell_angle_gamma 90.00
_symmetry_space_group_name_H-M 'P 1'
_symmetry_Int_Tables_number 1
_symmetry_space_group_name_Hall 'P 1'
loop_
_atom_site_label
_atom_site_fract_x
_atom_site_fract_y
_atom_site_fract_z
_atom_site_occupancy
La1 0.0000 0.0000 0.0000 1
Tl1 0.0000 0.5000 0.5000 1
Tl2 0.5000 0.0000 0.5000 1
Bi1 0.5000 0.5000 0.0000 1
Pt1 0.0000 0.0000 0.5000 1
```

---

Entry from Alexandria: an optimized crystal structure of K2NpAgCl8 (PBE-GGA).

Properties
uncorrected formation energy	-1.464	eV/atom
total energy	-50.33	eV/cell
size of the total moment	1.9	μB/f.u.
calculated volume	431	Å³/f.u.

Geometry as CIF:
```
data_K2NpAgCl8
_cell_length_a 6.5482
_cell_length_b 6.7119
_cell_length_c 9.8836
_cell_angle_alpha 89.96
_cell_angle_beta 89.99
_cell_angle_gamma 82.41
_symmetry_space_group_name_H-M 'P 1'
_symmetry_Int_Tables_number 1
_symmetry_space_group_name_Hall 'P 1'
loop_
_atom_site_label
_atom_site_fract_x
_atom_site_fract_y
_atom_site_fract_z
_atom_site_occupancy
K1 0.0007 0.9997 0.2303 1
K2 0.9993 0.0003 0.7697 1
Np1 0.5000 0.5000 0.5000 1
Ag1 0.5000 0.5000 0.0000 1
Cl1 0.2517 0.7908 0.9997 1
Cl2 0.2597 0.8322 0.5003 1
Cl3 0.2858 0.3691 0.3170 1
Cl4 0.2868 0.3684 0.6835 1
Cl5 0.7132 0.6316 0.3165 1
Cl6 0.7141 0.6309 0.6830 1
Cl7 0.7403 0.1678 0.4997 1
Cl8 0.7483 0.2092 0.0003 1
```

---

Entry from Alexandria: an optimized crystal structure of Rb2TlBiAs (PBE-GGA).

Properties
total energy	-11.62	eV/cell
size of the total moment	1.9	μB/f.u.
calculated volume	263	Å³/f.u.
formation energy	23	kJ per mole of atoms

Geometry as CIF:
```
data_Rb2TlBiAs
_cell_length_a 7.1896
_cell_length_b 7.1896
_cell_length_c 5.0886
_cell_angle_alpha 90.00
_cell_angle_beta 90.00
_cell_angle_gamma 90.00
_symmetry_space_group_name_H-M 'P 1'
_symmetry_Int_Tables_number 1
_symmetry_space_group_name_Hall 'P 1'
loop_
_atom_site_label
_atom_site_fract_x
_atom_site_fract_y
_atom_site_fract_z
_atom_site_occupancy
Rb1 0.0000 0.5000 0.0000 1
Rb2 0.5000 0.0000 0.0000 1
Tl1 0.0000 0.0000 0.0000 1
Bi1 0.5000 0.5000 0.5000 1
As1 0.0000 0.0000 0.5000 1
```

---

Entry from Alexandria: an optimized crystal structure of AgPdCl6 (PBE-GGA).

Properties
uncorrected formation energy	-0.287	eV/atom
total energy	-21.42	eV/cell
size of the total moment	1.0	μB/f.u.
calculated volume	239	Å³/f.u.
energy above the lowest structure with this stoichiometry	0	meV per atom

Geometry as CIF:
```
data_AgPdCl6
_cell_length_a 6.5288
_cell_length_b 6.5288
_cell_length_c 6.4936
_cell_angle_alpha 90.53
_cell_angle_beta 90.53
_cell_angle_gamma 120.25
_symmetry_space_group_name_H-M 'P 1'
_symmetry_Int_Tables_number 1
_symmetry_space_group_name_Hall 'P 1'
loop_
_atom_site_label
_atom_site_fract_x
_atom_site_fract_y
_atom_site_fract_z
_atom_site_occupancy
Ag1 0.0000 0.0000 0.0000 1
Pd1 0.0000 0.0000 0.5000 1
Cl1 0.0019 0.2911 0.7170 1
Cl2 0.2886 0.2886 0.2874 1
Cl3 0.2911 0.0019 0.7170 1
Cl4 0.7089 0.9981 0.2830 1
Cl5 0.7114 0.7114 0.7126 1
Cl6 0.9981 0.7089 0.2830 1
```

---

Entry from Alexandria: an optimized crystal structure of PrPb2F6 (PBE-GGA).

Properties
uncorrected formation energy	-2.859	eV/atom
total energy	-49.16	eV/cell
size of the total moment	0.2	μB/f.u.
calculated volume	177	Å³/f.u.

Geometry as CIF:
```
data_PrPb2F6
_cell_length_a 7.3000
_cell_length_b 7.3000
_cell_length_c 7.7365
_cell_angle_alpha 120.81
_cell_angle_beta 120.81
_cell_angle_gamma 30.51
_symmetry_space_group_name_H-M 'P 1'
_symmetry_Int_Tables_number 1
_symmetry_space_group_name_Hall 'P 1'
loop_
_atom_site_label
_atom_site_fract_x
_atom_site_fract_y
_atom_site_fract_z
_atom_site_occupancy
Pr1 0.0000 0.0000 0.0000 1
Pb1 0.1671 0.1671 0.7032 1
Pb2 0.8329 0.8329 0.2968 1
F1 0.0135 0.0135 0.3288 1
F2 0.1794 0.1794 0.0225 1
F3 0.3944 0.3944 0.8186 1
F4 0.6056 0.6056 0.1814 1
F5 0.8206 0.8206 0.9775 1
F6 0.9865 0.9865 0.6712 1
```

---

Entry from Alexandria: an optimized crystal structure of SrInRe4 (PBE-GGA).

Properties
total energy	-51.11	eV/cell
size of the total moment	0.0	μB/f.u.
calculated volume	112	Å³/f.u.
formation energy	50	kJ per mole of atoms

Geometry as CIF:
```
data_SrInRe4
_cell_length_a 5.4171
_cell_length_b 5.4171
_cell_length_c 5.4171
_cell_angle_alpha 60.00
_cell_angle_beta 60.00
_cell_angle_gamma 60.00
_symmetry_space_group_name_H-M 'P 1'
_symmetry_Int_Tables_number 1
_symmetry_space_group_name_Hall 'P 1'
loop_
_atom_site_label
_atom_site_fract_x
_atom_site_fract_y
_atom_site_fract_z
_atom_site_occupancy
Sr1 0.0000 0.0000 0.0000 1
In1 0.7500 0.7500 0.7500 1
Re1 0.3754 0.3754 0.3754 1
Re2 0.3754 0.3754 0.8739 1
Re3 0.3754 0.8739 0.3754 1
Re4 0.8739 0.3754 0.3754 1
```

---

Entry from Alexandria: an optimized crystal structure of Nd2ScCu (PBE-GGA).

Properties
total energy	-19.73	eV/cell
size of the total moment	0.0	μB/f.u.
calculated volume	104	Å³/f.u.
energy above the lowest structure with this stoichiometry	78	meV per atom
formation energy	6	kJ per mole of atoms

Geometry as CIF:
```
data_Nd2ScCu
_cell_length_a 5.3772
_cell_length_b 5.3772
_cell_length_c 3.6099
_cell_angle_alpha 90.00
_cell_angle_beta 90.00
_cell_angle_gamma 90.00
_symmetry_space_group_name_H-M 'P 1'
_symmetry_Int_Tables_number 1
_symmetry_space_group_name_Hall 'P 1'
loop_
_atom_site_label
_atom_site_fract_x
_atom_site_fract_y
_atom_site_fract_z
_atom_site_occupancy
Nd1 0.0000 0.5000 0.0000 1
Nd2 0.5000 0.0000 0.0000 1
Sc1 0.0000 0.0000 0.5000 1
Cu1 0.5000 0.5000 0.5000 1
```